Record 1
# RbNbPS2 (PBE, optimized geometry)
# Magnetic moment (μB per cell): 0.00
# Relative energy among the computed polymorphs (meV per atom): 2673
data_RbNbPS2
_chemical_formula_sum 'Rb1 Nb1 P1 S2'
_cell_length_a 5.168
_cell_length_b 5.168
_cell_length_c 5.124
_cell_angle_alpha 90.00
_cell_angle_beta 90.00
_cell_angle_gamma 90.00
_symmetry_space_group_name_H-M 'P 4/m m m'
_symmetry_Int_Tables_number 123
_symmetry_space_group_name_Hall '-P 4 2'
loop_
_atom_site_label
_atom_site_type_symbol
_atom_site_fract_x
_atom_site_fract_y
_atom_site_fract_z
Rb1 Rb 0.000 0.000 0.000
Nb1 Nb 0.500 0.500 0.500
P1 P 0.000 0.000 0.500
S1 S 0.000 0.500 0.000

***

Record 2
# RbNbPSe6 (PBE, optimized geometry)
# Raw total energy (eV/cell): -40.51
# Magnetic moment (μB per cell): 0.00
data_RbNbPSe6
_chemical_formula_sum 'Rb1 Nb1 P1 Se6'
_cell_length_a 6.4304
_cell_length_b 6.4304
_cell_length_c 8.1514
_cell_angle_alpha 90.00
_cell_angle_beta 90.00
_cell_angle_gamma 120.00
_symmetry_space_group_name_H-M 'P 3 1 2'
_symmetry_Int_Tables_number 149
loop_
_symmetry_equiv_pos_as_xyz
'x,y,z'
'-y,x-y,z'
'-x+y,-x,z'
'-y,-x,-z'
'-x+y,y,-z'
'x,x-y,-z'
loop_
_atom_site_label
_atom_site_type_symbol
_atom_site_fract_x
_atom_site_fract_y
_atom_site_fract_z
Rb1 Rb 0.0000 0.0000 0.0000
Nb1 Nb 0.3333 0.6667 0.5000
P1 P 0.6667 0.3333 0.5000
Se1 Se 0.3827 0.0148 0.6808

***

Record 3
# RbNb2PSe10 (PBE, optimized geometry)
# Raw total energy (eV/cell): -139.31
# Magnetic moment (μB per cell): 0.00
data_RbNb2PSe10
_chemical_formula_sum 'Rb2 Nb4 P2 Se20'
_cell_length_a 7.832
_cell_length_b 8.267
_cell_length_c 13.725
_cell_angle_alpha 90.00
_cell_angle_beta 108.42
_cell_angle_gamma 90.00
_symmetry_space_group_name_H-M 'P 1 c 1'
_symmetry_Int_Tables_number 7
loop_
_symmetry_equiv_pos_as_xyz
'x,y,z'
'x,-y,z+1/2'
loop_
_atom_site_label
_atom_site_type_symbol
_atom_site_fract_x
_atom_site_fract_y
_atom_site_fract_z
Rb1 Rb 0.000 0.012 0.000
Nb1 Nb 0.449 0.443 0.258
Nb2 Nb 0.454 0.442 0.966
P1 P 0.584 0.102 0.139
Se1 Se 0.200 0.363 0.794
Se2 Se 0.200 0.368 0.343
Se3 Se 0.204 0.446 0.068
Se4 Se 0.399 0.116 0.233
Se5 Se 0.411 0.335 0.605
Se6 Se 0.439 0.108 0.970
Se7 Se 0.699 0.357 0.159
Se8 Se 0.700 0.361 0.439
Se9 Se 0.710 0.376 0.877
Se10 Se 0.773 0.098 0.685

***

Record 4
# Rb2NbPW (PBE, optimized geometry)
# Calculated formation energy (eV per atom): 1.877
# Magnetic moment (μB per cell): 1.95
data_Rb2NbPW
_chemical_formula_sum 'Rb2 Nb1 P1 W1'
_cell_length_a 6.696
_cell_length_b 6.696
_cell_length_c 4.767
_cell_angle_alpha 90.00
_cell_angle_beta 90.00
_cell_angle_gamma 90.00
_symmetry_space_group_name_H-M 'P 4/m m m'
_symmetry_Int_Tables_number 123
_symmetry_space_group_name_Hall '-P 4 2'
loop_
_atom_site_label
_atom_site_type_symbol
_atom_site_fract_x
_atom_site_fract_y
_atom_site_fract_z
Rb1 Rb 0.000 0.500 0.000
Nb1 Nb 0.000 0.000 0.500
P1 P 0.500 0.500 0.500
W1 W 0.000 0.000 0.000